Entry 1:
NaMo2PbO8, optimized geometry, DFT GGA+U; E = -6.36 eV/atom; size of the total moment = 0.0 Bohr magnetons per cell; DOS(E_F) = 3.9 states/eV/f.u.
1.0
-5.361 2.864 -1.677
-0.630 -5.322 3.323
3.084 4.053 3.717
O Na Mo Pb
8 1 2 1
direct
0.912 0.222 0.310
0.778 0.088 0.690
0.482 0.668 0.814
0.332 0.518 0.186
0.912 0.601 0.690
0.399 0.088 0.310
0.854 0.668 0.186
0.332 0.146 0.814
0.250 0.750 0.500
0.750 0.250 0.500
0.500 0.500 0.000
0.000 0.000 0.000



Entry 2:
NaMoPbO4, optimized geometry, DFT GGA+U; E = -6.00 eV/atom; size of the total moment = 0.0 Bohr magnetons per cell; DOS(E_F) = 1.6 states/eV/f.u.
1.0
6.323 0.000 -0.559
0.000 5.999 0.000
-3.168 0.000 7.375
O Mo Na Pb
8 2 2 2
direct
0.574 0.250 0.428
0.002 0.509 0.301
0.998 0.009 0.699
0.328 0.750 0.182
0.672 0.250 0.818
0.426 0.750 0.572
0.002 0.991 0.301
0.998 0.491 0.699
0.812 0.250 0.667
0.188 0.750 0.333
0.755 0.750 0.458
0.245 0.250 0.542
0.390 0.750 0.910
0.610 0.250 0.090



Entry 3:
NaMoPdO4, optimized geometry, DFT GGA+U; E = -6.01 eV/atom; size of the total moment = 2.0 Bohr magnetons per cell; DOS(E_F) = 0.9 states/eV/f.u.
1.0
6.068 0.000 0.000
-3.034 6.208 0.336
0.000 -3.054 5.022
O Pd Mo Na
8 2 2 2
direct
0.230 0.459 0.262
0.650 0.874 0.687
0.770 0.541 0.303
0.350 0.126 0.313
0.776 0.126 0.313
0.770 0.541 0.738
0.224 0.874 0.687
0.230 0.459 0.697
0.500 0.000 0.500
0.500 0.000 0.000
0.500 0.500 0.500
0.000 0.500 0.500
0.916 0.831 0.166
0.084 0.169 0.834



Entry 4:
NaPm2MoO6, optimized geometry, DFT GGA+U; E = -7.33 eV/atom; size of the total moment = 1.0 Bohr magnetons per cell; DOS(E_F) = 0.0 states/eV/f.u.
1.0
-1.719 4.824 -2.732
-3.329 3.891 2.715
2.455 5.220 1.506
O Mo Na Pm
6 1 1 2
direct
0.667 0.137 0.782
0.983 0.563 0.239
0.420 0.671 0.781
0.210 0.973 0.245
0.576 0.204 0.247
0.135 0.418 0.770
0.318 0.319 0.044
0.800 0.808 0.586
0.030 0.033 0.916
0.522 0.536 0.406



Entry 5:
Na2Pm2MoO6, optimized geometry, DFT GGA+U; E = -6.83 eV/atom; size of the total moment = 2.0 Bohr magnetons per cell; DOS(E_F) = 0.0 states/eV/f.u.
1.0
5.946 0.002 0.174
-2.937 5.170 0.174
-0.967 -1.663 5.600
O Na Mo Pm
6 2 1 2
direct
0.248 0.248 0.296
0.348 0.043 0.692
0.652 0.957 0.308
0.752 0.752 0.704
0.957 0.652 0.308
0.043 0.348 0.692
0.142 0.858 0.000
0.858 0.142 0.000
0.000 0.000 0.500
0.337 0.663 0.500
0.663 0.337 0.500



Entry 6:
Na2PmMoO4, optimized geometry, DFT GGA+U; E = -6.43 eV/atom; size of the total moment = 3.0 Bohr magnetons per cell; DOS(E_F) = 0.0 states/eV/f.u.
1.0
3.428 0.000 0.000
0.000 5.792 0.088
0.000 -2.036 5.557
Na O Pm Mo
2 4 1 1
direct
0.500 0.000 0.500
0.000 0.500 0.500
0.500 0.783 0.790
0.000 0.248 0.782
0.000 0.752 0.218
0.500 0.217 0.210
0.500 0.500 0.000
0.000 0.000 0.000



Entry 7:
NaPm2MoO5, optimized geometry, DFT GGA+U; E = -7.12 eV/atom; size of the total moment = 2.0 Bohr magnetons per cell
1.0
-4.522 2.914 2.150
-1.400 -5.257 4.179
4.053 2.742 4.808
Na O Pm Mo
2 10 4 2
direct
0.000 0.000 0.000
0.000 0.500 0.500
0.500 0.500 0.500
0.249 0.362 0.138
0.249 0.138 0.638
0.249 0.638 0.862
0.500 0.000 0.000
0.751 0.138 0.638
0.249 0.862 0.362
0.751 0.362 0.138
0.751 0.638 0.862
0.751 0.862 0.362
0.500 0.822 0.678
0.500 0.322 0.822
0.500 0.178 0.322
0.500 0.678 0.178
0.000 0.000 0.500
0.000 0.500 0.000



Entry 8:
NaPmMo2O8, optimized geometry, DFT GGA+U; E = -7.12 eV/atom; size of the total moment = 0.0 Bohr magnetons per cell; DOS(E_F) = 0.0 states/eV/f.u.
1.0
-3.628 -4.619 2.237
4.184 2.407 4.026
-3.876 4.702 -1.542
O Mo Pm Na
8 2 1 1
direct
0.851 0.658 0.193
0.393 0.076 0.318
0.465 0.658 0.807
0.342 0.535 0.193
0.924 0.607 0.682
0.924 0.242 0.318
0.758 0.076 0.682
0.342 0.149 0.807
0.750 0.250 0.500
0.500 0.500 0.000
0.250 0.750 0.500
0.000 0.000 0.000